# Co3WO8 GGA+U relaxed
# - space group = Cc (9)
# - E_tot (eV/atom) = -6.319
# - total moment (Bohr magnetons per cell) = 2.06
data_Co3WO8
_chemical_formula_sum 'Co6 W2 O16'
_cell_length_a 5.713
_cell_length_b 5.691
_cell_length_c 9.086
_cell_angle_alpha 89.60
_cell_angle_beta 90.20
_cell_angle_gamma 119.87
_space_group_name_H-M_alt 'P 1'
_space_group_IT_number 1
loop_
_space_group_symop_operation_xyz
'x,y,z'
loop_
_atom_site_label
_atom_site_fract_x
_atom_site_fract_y
_atom_site_fract_z
Co1 0.166 0.829 0.214
Co2 0.166 0.336 0.217
Co3 0.659 0.829 0.214
Co4 0.341 0.170 0.714
Co5 0.834 0.663 0.714
Co6 0.834 0.170 0.717
W1 0.337 0.673 0.494
W2 0.663 0.336 0.994
O1 0.168 0.834 0.596
O2 0.036 0.516 0.337
O3 0.327 0.659 0.113
O4 0.000 0.004 0.306
O5 0.000 0.004 0.806
O6 0.171 0.339 0.598
O7 0.479 0.960 0.335
O8 0.477 0.514 0.336
O9 0.333 0.166 0.096
O10 0.667 0.833 0.596
O11 0.521 0.482 0.835
O12 0.523 0.038 0.836
O13 0.673 0.331 0.613
O14 0.832 0.666 0.096
O15 0.964 0.479 0.837
O16 0.829 0.168 0.098